AcPrHo: optimized geometry, PBE-GGA.

Lattice parameters (Å, degrees): 6.601 6.585 12.170 90.00 90.00 122.67
Element x y z (fractional)
Pr (0.490, 0.928, 0.884)
Ho (0.843, 0.576, 0.884)
Ac (0.157, 0.236, 0.868)
Ac (0.843, 0.264, 0.132)
Ac (0.343, 0.764, 0.368)
Pr (0.990, 0.428, 0.616)
Ho (0.657, 0.424, 0.384)
Pr (0.010, 0.072, 0.384)
Ho (0.343, 0.076, 0.616)
Ho (0.157, 0.924, 0.116)
Ac (0.657, 0.736, 0.632)
Pr (0.510, 0.572, 0.116)

Properties
- total magnetization (μB per formula unit) = 0.00
- ΔE_f (eV per atom) = 0.05

=====

CsCo: optimized geometry, PBE-GGA.

Lattice parameters (Å, degrees): 12.903 12.903 3.979 90.00 90.00 120.00
Each line ends with the local moment (μB).
Element x y z (fractional)
Cs (0.582, 0.791, 0.250)  -0.01
Co (0.479, 0.521, 0.750)  1.60
Co (0.479, 0.958, 0.750)  1.60
Co (0.521, 0.479, 0.250)  1.60
Cs (0.791, 0.209, 0.750)  -0.01
Cs (0.418, 0.209, 0.750)  -0.01
Cs (0.209, 0.418, 0.250)  -0.01
Cs (0.209, 0.791, 0.250)  -0.01
Cs (0.791, 0.582, 0.750)  -0.01
Co (0.042, 0.521, 0.750)  1.60
Co (0.521, 0.042, 0.250)  1.60
Co (0.958, 0.479, 0.250)  1.60

Properties
- total magnetization (μB per formula unit) = 1.57
- ΔE_f (eV per atom) = 0.91

=====

ScTiSnHg: optimized geometry, PBE-GGA.

Lattice parameters (Å, degrees): 4.908 4.908 4.908 60.00 60.00 60.00
Each line ends with the local moment (μB).
Element x y z (fractional)
Ti (0.250, 0.250, 0.250)  1.09
Sc (0.750, 0.750, 0.750)  0.17
Hg (0.000, 0.000, 0.000)  0.00
Sn (0.500, 0.500, 0.500)  -0.02

Properties
- total magnetization (μB per formula unit) = 1.61
- ΔE_f (eV per atom) = -0.25

=====

Tb3Y: optimized geometry, PBE-GGA.

Lattice parameters (Å, degrees): 5.042 5.042 5.042 90.00 90.00 90.00
Element x y z (fractional)
Tb (0.500, 0.000, 0.500)
Tb (0.500, 0.500, 0.000)
Tb (0.000, 0.500, 0.500)
Y (0.000, 0.000, 0.000)

Properties
- total magnetization (μB per formula unit) = 0.00
- ΔE_f (eV per atom) = 0.02

=====

TbPmDy2Te5: optimized geometry, PBE-GGA.

Lattice parameters (Å, degrees): 5.559 5.559 11.759 90.00 90.00 90.00
Each line ends with the local moment (μB).
Element x y z (fractional)
Pm (0.000, 0.000, 0.000)  0.00
Tb (0.000, 0.000, 0.500)  0.02
Te (0.500, 0.000, 0.500)  0.00
Te (0.000, 0.000, 0.751)  0.00
Te (0.000, 0.500, 0.500)  0.00
Te (0.500, 0.500, 0.000)  0.01
Dy (0.500, 0.500, 0.354)  0.21
Te (0.000, 0.000, 0.249)  0.00
Dy (0.500, 0.500, 0.646)  0.21

Properties
- total magnetization (μB per formula unit) = 0.60
- raw formation energy (meV/atom) = -664

=====

PW2Se: optimized geometry, PBE-GGA.

Lattice parameters (Å, degrees): 8.626 8.626 8.626 20.85 20.85 20.85
Element x y z (fractional)
W (0.999, 0.999, 0.999)
P (0.485, 0.485, 0.485)
W (0.753, 0.753, 0.753)
Se (0.263, 0.263, 0.263)

Properties
- total magnetization (μB per formula unit) = 0.00
- raw formation energy (meV/atom) = 33

=====

CuAg2Te: optimized geometry, PBE-GGA.

Lattice parameters (Å, degrees): 3.879 3.122 7.479 64.77 90.00 90.00
Element x y z (fractional)
Ag (0.000, 0.072, 0.055)
Te (0.500, 0.411, 0.718)
Ag (0.500, 0.347, 0.276)
Cu (0.000, 0.670, 0.451)

Properties
- total magnetization (μB per formula unit) = 0.00
- raw formation energy (meV/atom) = 109

=====

SrGa2Te: optimized geometry, PBE-GGA.

Lattice parameters (Å, degrees): 4.459 22.071 4.558 90.00 90.00 90.00
Element x y z (fractional)
Sr (0.000, 0.137, 0.236)
Sr (0.500, 0.363, 0.736)
Te (0.500, 0.189, 0.739)
Ga (0.000, 0.567, 0.220)
Ga (0.000, 0.000, 0.827)
Sr (0.500, 0.637, 0.736)
Ga (0.500, 0.500, 0.327)
Te (0.500, 0.811, 0.739)
Ga (0.500, 0.933, 0.720)
Ga (0.500, 0.000, 0.237)
Ga (0.500, 0.067, 0.720)
Te (0.000, 0.311, 0.239)
Ga (0.000, 0.433, 0.220)
Te (0.000, 0.689, 0.239)
Sr (0.000, 0.863, 0.236)
Ga (0.000, 0.500, 0.737)

Properties
- total magnetization (μB per formula unit) = 0.00
- raw formation energy (meV/atom) = -700